The following is a PBE-GGA calculation of a relaxed PuNiGe2Pd crystal, from Alexandria via LeMat-Bulk.

Output
- total energy (eV/cell) = -37.09
- size of the total moment (μB per atom) = 1.09

Lattice parameters (Å, degrees): 4.1618 4.1618 5.9186 110.58 110.58 90.00
Each line ends with the local moment (μB).
Fractional positions:
Pu 0.0000 0.0000 0.0000  5.20
Ni 0.7500 0.2500 0.5000  0.03
Ge 0.6224 0.6224 0.2448  -0.02
Ge 0.3776 0.3776 0.7552  -0.02
Pd 0.2500 0.7500 0.5000  0.00

=====

The following is a PBE-GGA calculation of a relaxed Tb3Cu2 crystal, from Alexandria via LeMat-Bulk.

Output
- total energy (eV/cell) = -68.10
- energy above the most stable polymorph in this dataset (meV per atom) = 61
- size of the total moment (μB per atom) = 0.00

Lattice parameters (Å, degrees): 4.6206 8.0473 10.2441 90.91 90.00 106.68
Fractional positions:
Tb 0.8411 0.6821 0.0614
Tb 0.1589 0.3179 0.9386
Tb 0.8891 0.7782 0.4154
Tb 0.1109 0.2218 0.5846
Tb 0.2283 0.4567 0.2749
Tb 0.7717 0.5433 0.7251
Tb 0.5416 0.0832 0.3329
Tb 0.4584 0.9168 0.6671
Tb 0.5000 0.0000 0.0000
Cu 0.7088 0.4175 0.4636
Cu 0.2912 0.5825 0.5364
Cu 0.6611 0.3223 0.1266
Cu 0.3389 0.6777 0.8734
Cu 0.0489 0.0978 0.1664
Cu 0.9511 0.9022 0.8336

=====

The following is a PBE-GGA calculation of a relaxed TbPmTlAg crystal, from Alexandria via LeMat-Bulk.

Output
- total energy (eV/cell) = -15.93
- energy above the most stable polymorph in this dataset (meV per atom) = 0
- size of the total moment (μB per atom) = 0.04

Lattice parameters (Å, degrees): 3.6953 3.6953 7.8613 90.00 90.00 90.00
Each line ends with the local moment (μB).
Fractional positions:
Tb 0.0000 0.0000 0.3748  0.00
Pm 0.0000 0.0000 0.8449  0.08
Tl 0.5000 0.5000 0.1151  0.00
Ag 0.5000 0.5000 0.5932  0.00

=====

The following is a PBE-GGA calculation of a relaxed DyEr4ScS8 crystal, from Alexandria via LeMat-Bulk.

Output
- E_form (uncorrected) (meV per atom) = -1918
- total energy (eV/cell) = -89.06
- size of the total moment (μB per atom) = 0.05

Lattice parameters (Å, degrees): 7.9216 7.9216 7.9305 60.04 60.04 60.00
Each line ends with the local moment (μB).
Fractional positions:
Dy 0.0031 0.0031 0.9907  0.07
Er 0.6251 0.6251 0.1247  0.02
Er 0.0029 0.4911 0.5031  0.07
Er 0.4911 0.0029 0.5031  0.07
Er 0.0029 0.0029 0.5031  0.07
Sc 0.3747 0.3747 0.8758  0.18
S 0.2483 0.7593 0.7441  0.00
S 0.7593 0.2483 0.7441  0.00
S 0.2483 0.2483 0.7441  0.00
S 0.2462 0.2462 0.2613  0.00
S 0.7570 0.2254 0.2606  0.00
S 0.2254 0.7570 0.2606  0.00
S 0.7570 0.7570 0.2606  0.00
S 0.7586 0.7586 0.7243  0.00

=====

The following is a PBE-GGA calculation of a relaxed Tm4SiNi3 crystal, from Alexandria via LeMat-Bulk.

Output
- E_form (uncorrected) (meV per atom) = -576
- total energy (eV/cell) = -45.26
- size of the total moment (μB per atom) = 0.00

Lattice parameters (Å, degrees): 3.9077 3.9789 10.2123 90.00 90.00 90.00
Fractional positions:
Tm 0.5000 0.5000 0.3626
Tm 0.0000 0.5000 0.8554
Tm 0.0000 0.0000 0.1437
Tm 0.5000 0.0000 0.6420
Si 0.5000 0.5000 0.0679
Ni 0.0000 0.5000 0.5694
Ni 0.0000 0.0000 0.4288
Ni 0.5000 0.0000 0.9302

=====

The following is a PBE-GGA calculation of a relaxed HgSO3 crystal, from Alexandria via LeMat-Bulk.

Output
- E_form (uncorrected) (meV per atom) = 1164
- total energy (eV/cell) = -13.49
- size of the total moment (μB per atom) = 0.00

Lattice parameters (Å, degrees): 4.1158 4.1158 4.1158 90.00 90.00 90.00
Fractional positions:
S 0.5000 0.5000 0.5000
Hg 0.0000 0.0000 0.0000
O 0.0000 0.5000 0.0000
O 0.0000 0.0000 0.5000
O 0.5000 0.0000 0.0000